Here is a relaxed KFe4O7 crystal from Alexandria. Energies are from PBE with a Hubbard U.

Values from the calculation:
DFT total energy in eV per atom: -6.145

abc: 13.9723 5.6547 5.3693
angles: 90.00 90.00 90.00
Sites, in units of the cell vectors:
K  0.0000  0.1520  0.0000
K  0.5000  0.8480  0.5000
Fe  0.1204  0.6730  0.4022
Fe  0.2494  0.1693  0.3900
Fe  0.2506  0.8307  0.8900
Fe  0.3796  0.3270  0.9022
Fe  0.6204  0.3270  0.9022
Fe  0.7494  0.8307  0.8900
Fe  0.7506  0.1693  0.3900
Fe  0.8796  0.6730  0.4022
O  0.0000  0.7624  0.2930
O  0.1370  0.7488  0.7364
O  0.1432  0.3562  0.3319
O  0.2158  0.8697  0.2358
O  0.2842  0.1303  0.7358
O  0.3568  0.6438  0.8319
O  0.3630  0.2512  0.2364
O  0.5000  0.2376  0.7930
O  0.6370  0.2512  0.2364
O  0.6432  0.6438  0.8319
O  0.7158  0.1303  0.7358
O  0.7842  0.8697  0.2358
O  0.8568  0.3562  0.3319
O  0.8630  0.7488  0.7364